Record 1
A plane-wave DFT calculation with PBE-GGA was carried out for crystalline AlTeRh2 at its relaxed geometry.

Computed properties:
The crystal system is cubic. The uncorrected formation energy is -27.97 kJ/mol of atoms. For the relative energy among the computed polymorphs, the calculation gives 0.579 eV per formula unit. Its total energy is -5.687 eV/atom.

Lattice parameters (Å, degrees): 6.3774 6.3774 6.3774 90.00 90.00 90.00
With the nearest neighbours (Å) after each atom.
Space group Fm-3m (No. 225)
Asymmetric unit:
Al 0.0000 0.0000 0.0000 [4 per cell]  8 Rh 2.76
Te 0.0000 0.0000 0.5000 [4 per cell]  8 Rh 2.76
Rh 0.2500 0.2500 0.2500 [8 per cell]  4 Te 2.76, 4 Al 2.76



Record 2
A plane-wave DFT calculation with PBE-GGA was carried out for crystalline CaBeRh2 at its relaxed geometry.

Computed properties:
The crystal system is monoclinic. As for the calculated formation energy: -0.1282 eV/atom. Its total energy is -5.236 eV/atom.

Lattice parameters (Å, degrees): 3.0564 4.3107 5.3177 90.00 106.41 90.00
With the nearest neighbours (Å) after each atom.
Space group Pm (No. 6)
Asymmetric unit:
Ca 0.0000 0.0000 0.0000 [1 per cell]  3 Rh 2.71-2.84
Be 0.3493 0.5000 0.6924 [1 per cell]  4 Rh 2.22-2.31
Rh 0.2719 0.0000 0.5311 [1 per cell]  2 Be 2.31
Rh 0.6940 0.5000 0.3763 [1 per cell]  2 Be 2.22



Record 3
A plane-wave DFT calculation with PBE-GGA was carried out for crystalline BaIn2BO at its relaxed geometry.

Computed properties:
The crystal system is tetragonal. The uncorrected formation energy is -8.89 kJ/mol of atoms. Its total energy is -3.899 eV/atom.

Lattice parameters (Å, degrees): 4.3161 4.3161 6.8166 90.00 90.00 90.00
With the nearest neighbours (Å) after each atom.
Space group P4/mmm (No. 123)
Asymmetric unit:
Ba 0.0000 0.0000 0.0000 [1 per cell]  4 O 3.05, 2 B 3.41
In 0.0000 0.5000 0.5000 [2 per cell]  2 B 2.16
B 0.0000 0.0000 0.5000 [1 per cell]  4 In 2.16
O 0.5000 0.5000 0.0000 [1 per cell]  4 Ba 3.05



Record 4
A plane-wave DFT calculation with PBE-GGA was carried out for crystalline Mg2PH2 at its relaxed geometry.

Computed properties:
The crystal system is tetragonal. For the relative energy among the computed polymorphs, the calculation gives 0.000 eV per formula unit. Its total energy is -3.274 eV/atom.

Lattice parameters (Å, degrees): 3.2361 3.2361 11.3205 90.00 90.00 90.00
With the nearest neighbours (Å) after each atom.
Space group I4/mmm (No. 139)
Asymmetric unit:
Mg 0.0000 0.0000 0.1486 [4 per cell]  4 H 1.98
P 0.0000 0.0000 0.5000 [2 per cell]  8 Mg 2.84
H 0.0000 0.5000 0.2500 [4 per cell]  4 Mg 1.98



Record 5
A plane-wave DFT calculation with PBE-GGA was carried out for crystalline Ba2SrZnPt at its relaxed geometry.

Computed properties:
The crystal system is tetragonal. As for the calculated formation energy: -0.2692 eV/atom. For the relative energy among the computed polymorphs, the calculation gives 0.172 eV per formula unit. Its total energy is -2.838 eV/atom.

Lattice parameters (Å, degrees): 6.2717 6.2717 5.1018 90.00 90.00 90.00
With the nearest neighbours (Å) after each atom.
Space group P4/mmm (No. 123)
Asymmetric unit:
Ba 0.0000 0.5000 0.0000 [2 per cell]  2 Pt 3.14
Sr 0.0000 0.0000 0.5000 [1 per cell]  8 Ba 4.04, 4 Zn 4.43
Zn 0.5000 0.5000 0.5000 [1 per cell]  2 Pt 2.55
Pt 0.5000 0.5000 0.0000 [1 per cell]  2 Zn 2.55



Record 6
A plane-wave DFT calculation with PBE-GGA was carried out for crystalline La2ScAl at its relaxed geometry.

Computed properties:
The crystal system is tetragonal. As for the calculated formation energy: 0.1621 eV/atom. Its total energy is -4.820 eV/atom.

Lattice parameters (Å, degrees): 8.7623 8.7623 6.1352 90.00 90.00 90.00
With the nearest neighbours (Å) after each atom.
Space group I-42d (No. 122)
Asymmetric unit:
La 0.2315 0.2500 0.1250 [8 per cell]  2 Al 3.08, 2 La 3.08, 2 Sc 3.31
Sc 0.0000 0.0000 0.5000 [4 per cell]  2 Al 3.07, 4 La 3.31
Al 0.0000 0.0000 0.0000 [4 per cell]  2 Sc 3.07, 4 La 3.08